1.
The following is a DFT calculation (PBE with a Hubbard U) of an optimized crystal structure of MgVF4.

The structure in extended XYZ format:
```
6
Lattice="-2.222 -2.269 0.241 3.306 -3.054 1.717 -0.999 1.453 4.483" Properties=species:S:1:pos:R:3 pbc="T T T"
V 0.043 -1.935 3.220
F -1.300 -0.529 4.083
F 1.628 -1.130 4.374
F 0.679 -0.471 1.825
Mg 0.000 0.000 0.000
F 1.385 -3.341 2.357
```

## Properties
**Space-group type**: No. 65
**Energy above the most stable polymorph in this dataset**: 0 meV per atom

2.
The following is a DFT calculation (PBE with a Hubbard U) of an optimized crystal structure of MgVF5.

The structure in extended XYZ format:
```
28
Lattice="-1.812 8.780 -3.879 -2.467 1.383 4.284 4.913 3.162 4.862" Properties=species:S:1:pos:R:3 pbc="T T T"
F 2.043 10.508 1.638
F 1.806 3.500 4.277
F 0.914 5.562 2.494
F 3.225 5.820 3.617
V -0.113 2.812 0.069
F -2.592 7.504 1.651
F 1.049 2.882 1.785
Mg 1.503 7.224 3.664
F -0.694 8.956 -1.611
F 1.657 11.857 4.095
F -1.023 1.468 1.172
F 2.316 7.853 2.006
F -1.410 2.817 3.629
Mg -0.093 1.477 3.073
V 2.372 4.251 2.563
F -1.173 9.825 0.991
Mg 0.727 11.848 2.194
F 1.328 4.369 6.879
F -1.682 5.471 3.262
F 0.642 6.357 5.195
F -0.281 7.763 2.774
F -0.416 10.443 3.482
V 0.747 10.513 5.198
F -1.143 4.309 0.790
F 1.777 9.016 4.478
F -0.009 6.968 0.072
V -1.739 9.074 2.704
Mg -0.870 6.101 1.603
```

## Properties
**Space-group type**: No. 14
**Energy above the most stable polymorph in this dataset**: 10 meV per atom

3.
The following is a DFT calculation (PBE with a Hubbard U) of an optimized crystal structure of MgV2F8.

The structure in extended XYZ format:
```
11
Lattice="-1.179 -4.494 1.955 2.188 -1.377 -4.585 5.180 0.226 0.905" Properties=species:S:1:pos:R:3 pbc="T T T"
F 5.936 -1.935 -2.671
F 0.253 -3.710 0.945
F 2.662 -3.107 1.772
F 3.527 -2.538 -3.498
F 3.227 -3.975 -0.598
Mg 0.000 0.000 0.000
V 4.527 -2.793 -1.652
F 5.354 -1.560 -0.147
F 0.835 -4.085 -1.579
V 1.662 -2.852 -0.074
F 2.962 -1.669 -1.127
```

## Properties
**Space-group type**: No. 12
**E**: -64.31 eV for the cell shown

4.
The following is a DFT calculation (PBE with a Hubbard U) of an optimized crystal structure of MgVF5.

The structure in extended XYZ format:
```
14
Lattice="-5.192 -1.142 0.005 -1.143 -2.670 4.452 -3.770 4.345 4.926" Properties=species:S:1:pos:R:3 pbc="T T T"
F -5.136 -2.329 4.162
V 0.000 0.000 0.000
F -4.969 2.862 5.220
F -7.494 1.919 4.276
V -1.885 2.173 2.463
F -4.275 -1.460 1.693
Mg -6.112 1.397 5.794
F -7.289 -0.055 6.330
Mg -3.993 -0.864 3.589
F -5.829 1.993 7.689
F -2.611 -1.386 5.107
F -4.573 0.113 5.899
F -5.532 0.419 3.483
F -2.815 0.588 3.053
```

## Properties
**Space-group type**: No. 15
**Energy above the most stable polymorph in this dataset**: 0 meV per atom

5.
The following is a DFT calculation (PBE with a Hubbard U) of an optimized crystal structure of MgVF6.

The structure in extended XYZ format:
```
8
Lattice="4.592 0.000 0.000 0.000 4.300 -2.482 0.000 0.000 4.965" Properties=species:S:1:pos:R:3 pbc="T T T"
F 3.504 1.483 0.674
V 0.000 2.866 0.000
F 1.088 1.483 -0.674
F 3.504 4.142 0.861
F 3.504 2.974 -1.535
Mg 2.296 0.000 0.000
F 1.088 4.142 -0.861
F 1.088 2.974 1.535
```

## Properties
**Space-group type**: No. 149
**E**: -44.23 eV for the cell shown

6.
The following is a DFT calculation (PBE with a Hubbard U) of an optimized crystal structure of MgV3F.

The structure in extended XYZ format:
```
5
Lattice="-4.128 3.031 -0.685 -1.850 -3.312 -3.508 -2.497 -2.558 3.731" Properties=species:S:1:pos:R:3 pbc="T T T"
V -0.925 -1.656 -1.754
F -4.238 -1.419 -0.231
Mg 0.000 0.000 0.000
V -2.064 1.516 -0.342
V -1.249 -1.279 1.866
```

## Properties
**Space-group type**: No. 221
**Energy above the most stable polymorph in this dataset**: 1140 meV per atom

7.
The following is a DFT calculation (PBE with a Hubbard U) of an optimized crystal structure of MgVF5.

The structure in extended XYZ format:
```
7
Lattice="3.562 0.000 1.305 1.497 4.979 1.427 0.045 0.009 5.391" Properties=species:S:1:pos:R:3 pbc="T T T"
F 2.051 3.732 5.429
F 1.781 0.000 0.653
Mg 2.553 2.494 4.062
F 3.054 1.256 2.694
V 0.000 0.000 0.000
F 0.495 1.550 4.162
F 1.047 3.438 2.656
```

## Properties
**Space-group type**: No. 71
**Energy above the most stable polymorph in this dataset**: 61 meV per atom

8.
The following is a DFT calculation (PBE with a Hubbard U) of an optimized crystal structure of Mg2V2F.

The structure in extended XYZ format:
```
10
Lattice="7.723 0.000 0.000 0.000 7.723 0.000 0.000 0.000 3.281" Properties=species:S:1:pos:R:3 pbc="T T T"
Mg 2.263 6.124 0.000
V 7.062 3.200 1.640
F 3.862 3.862 0.000
V 4.523 7.062 1.640
V 0.661 4.523 1.640
V 3.200 0.661 1.640
Mg 6.124 5.460 0.000
Mg 5.460 1.599 0.000
F 0.000 0.000 0.000
Mg 1.599 2.263 0.000
```

## Properties
**Space-group type**: No. 127
**Energy above the most stable polymorph in this dataset**: 398 meV per atom

9.
The following is a DFT calculation (PBE with a Hubbard U) of an optimized crystal structure of MgV2F.

The structure in extended XYZ format:
```
4
Lattice="2.470 -2.813 2.937 -1.733 -1.050 4.305 -1.543 -4.403 0.935" Properties=species:S:1:pos:R:3 pbc="T T T"
V -0.201 -2.066 2.044
F 0.000 0.000 0.000
V -0.604 -6.199 6.133
Mg -0.403 -4.133 4.089
```

## Properties
**Space-group type**: No. 225
**Energy above the most stable polymorph in this dataset**: 476 meV per atom

10.
The following is a DFT calculation (PBE with a Hubbard U) of an optimized crystal structure of MgVF4.

The structure in extended XYZ format:
```
12
Lattice="5.126 -0.006 0.002 -0.102 5.557 0.015 -1.817 -1.976 5.142" Properties=species:S:1:pos:R:3 pbc="T T T"
F 1.124 2.409 1.645
V -0.051 2.778 0.007
F 3.532 3.945 1.034
F 3.847 1.345 1.317
F -0.325 -0.370 4.124
Mg 2.863 2.780 2.506
V 2.563 -0.003 0.001
F 2.181 3.941 3.852
F 2.083 1.165 3.513
Mg 0.344 0.795 2.652
F -0.640 2.230 3.841
F 1.026 -0.366 1.306
```

## Properties
**Space-group type**: No. 2
**Energy above the most stable polymorph in this dataset**: 87 meV per atom

11.
The following is a DFT calculation (PBE with a Hubbard U) of an optimized crystal structure of MgV2F.

The structure in extended XYZ format:
```
8
Lattice="-1.718 3.408 -4.075 0.022 -4.278 -3.587 -6.750 -1.679 -2.383" Properties=species:S:1:pos:R:3 pbc="T T T"
V -5.694 -2.653 -5.556
Mg 0.000 0.000 0.000
V -2.318 -1.817 -4.364
V -2.330 0.325 -2.574
F -0.848 -0.435 -3.831
Mg -4.658 0.647 -5.145
V -6.553 -0.953 -7.597
F -3.788 -3.196 -4.901
```

## Properties
**Space-group type**: No. 141
**Energy above the most stable polymorph in this dataset**: 0 meV per atom

12.
The following is a DFT calculation (PBE with a Hubbard U) of an optimized crystal structure of MgVZnF6.

The structure in extended XYZ format:
```
18
Lattice="5.256 0.000 0.000 -2.628 4.552 0.000 0.000 0.000 9.008" Properties=species:S:1:pos:R:3 pbc="T T T"
F 1.808 3.059 1.138
F -1.745 3.096 7.870
Zn 2.628 1.517 2.252
F 1.745 3.096 5.642
F 4.373 1.457 1.138
Zn 0.000 3.035 6.756
F -0.925 4.515 5.642
Mg 0.000 0.000 0.000
F 0.883 1.457 3.366
F 0.925 4.515 7.870
F 3.553 0.037 3.366
V 0.000 3.035 2.252
F -0.820 1.493 5.642
F 3.448 3.059 3.366
Mg 0.000 0.000 4.504
V 2.628 1.517 6.756
F 0.820 1.493 7.870
F 1.703 0.037 1.138
```

## Properties
**Space-group type**: No. 163
**E**: -93.56 eV for the cell shown

13.
The following is a DFT calculation (PBE with a Hubbard U) of an optimized crystal structure of MgZrV2F.

The structure in extended XYZ format:
```
5
Lattice="5.477 0.000 0.000 0.000 3.572 0.000 0.000 0.000 5.477" Properties=species:S:1:pos:R:3 pbc="T T T"
Zr 2.739 1.786 2.739
F 0.000 1.786 0.000
Mg 0.000 0.000 0.000
V 0.000 0.000 2.739
V 2.739 0.000 0.000
```

## Properties
**Space-group type**: No. 123
**E**: -24.68 eV for the cell shown

14.
The following is a DFT calculation (PBE with a Hubbard U) of an optimized crystal structure of MgWF6.

The structure in extended XYZ format:
```
8
Lattice="5.660 0.001 0.001 3.091 4.742 0.001 3.091 1.675 4.436" Properties=species:S:1:pos:R:3 pbc="T T T"
F 4.295 4.137 1.502
F 5.811 1.878 0.724
F 7.096 4.384 1.097
F 7.547 2.281 2.936
W 0.000 0.000 0.000
Mg 5.921 3.209 2.219
F 6.031 4.540 3.714
F 4.746 2.034 3.340
```

## Properties
**Space-group type**: No. 148
**E**: -44.46 eV for the cell shown

15.
The following is a DFT calculation (PBE with a Hubbard U) of an optimized crystal structure of Mg3WF.

The structure in extended XYZ format:
```
5
Lattice="5.580 0.000 0.000 0.000 5.580 0.000 0.000 0.000 5.580" Properties=species:S:1:pos:R:3 pbc="T T T"
Mg 2.790 0.000 0.000
W 0.000 0.000 0.000
Mg 0.000 2.790 0.000
Mg 0.000 0.000 2.790
F 2.790 2.790 2.790
```

## Properties
**Space-group type**: No. 221
**Energy above the most stable polymorph in this dataset**: 912 meV per atom

16.
The following is a DFT calculation (PBE with a Hubbard U) of an optimized crystal structure of MgW3F.

The structure in extended XYZ format:
```
5
Lattice="-2.714 2.141 4.310 0.015 -4.944 2.465 4.812 1.223 2.423" Properties=species:S:1:pos:R:3 pbc="T T T"
F 1.056 -0.790 4.599
W 0.007 -2.472 1.233
Mg 0.000 0.000 0.000
W -1.357 1.070 2.155
W 2.406 0.611 1.212
```

## Properties
**Space-group type**: No. 221
**Energy above the most stable polymorph in this dataset**: 931 meV per atom

17.
The following is a DFT calculation (PBE with a Hubbard U) of an optimized crystal structure of MgW3F.

The structure in extended XYZ format:
```
5
Lattice="4.344 0.000 0.000 0.000 4.344 0.000 0.000 0.000 4.344" Properties=species:S:1:pos:R:3 pbc="T T T"
W 2.172 0.000 0.000
W 0.000 2.172 0.000
Mg 2.172 2.172 2.172
F 0.000 0.000 0.000
W 0.000 0.000 2.172
```

## Properties
**Space-group type**: No. 221
**Energy above the most stable polymorph in this dataset**: 0 meV per atom

18.
The following is a DFT calculation (PBE with a Hubbard U) of an optimized crystal structure of Mg2WF.

The structure in extended XYZ format:
```
4
Lattice="0.000 3.453 3.453 3.453 0.000 3.453 3.453 3.453 0.000" Properties=species:S:1:pos:R:3 pbc="T T T"
Mg 1.726 1.726 1.726
W 3.453 3.453 3.453
F 0.000 0.000 0.000
Mg 5.179 5.179 5.179
```

## Properties
**Space-group type**: No. 225
**Energy above the most stable polymorph in this dataset**: 505 meV per atom

19.
The following is a DFT calculation (PBE with a Hubbard U) of an optimized crystal structure of Mg3WF.

The structure in extended XYZ format:
```
5
Lattice="4.383 0.000 0.000 0.000 4.383 0.000 0.000 0.000 4.383" Properties=species:S:1:pos:R:3 pbc="T T T"
Mg 0.000 2.192 0.000
F 0.000 0.000 0.000
W 2.192 2.192 2.192
Mg 0.000 0.000 2.192
Mg 2.192 0.000 0.000
```

## Properties
**Space-group type**: No. 221
**Energy above the most stable polymorph in this dataset**: 0 meV per atom

20.
The following is a DFT calculation (PBE with a Hubbard U) of an optimized crystal structure of Mg2WF.

The structure in extended XYZ format:
```
8
Lattice="6.694 0.000 0.000 0.000 6.694 0.000 3.347 3.347 3.436" Properties=species:S:1:pos:R:3 pbc="T T T"
Mg 5.021 5.712 2.577
Mg 2.365 5.021 0.859
F 3.347 3.347 0.000
W 6.694 3.347 1.718
Mg 4.329 1.674 0.859
W 0.000 0.000 0.000
F 3.347 6.694 1.718
Mg 8.368 7.676 2.577
```

## Properties
**Space-group type**: No. 122
**Energy above the most stable polymorph in this dataset**: 0 meV per atom